(1)
Here is a geometry-optimized AlZn2Rh structure from Alexandria. Energies are from GGA-PBE.

abc: 8.4110 8.4110 8.4110
angles: 19.85 19.85 19.85
With the nearest neighbours (Å) after each atom.
Sites, in units of the cell vectors:
1 Al 0.0000 0.0000 0.0000  3 Rh 2.52, 3 Zn 2.73
2 Zn 0.2463 0.2463 0.2463  3 Al 2.73, 9 Zn 2.74-2.90
3 Zn 0.4920 0.4920 0.4920  3 Rh 2.64, 9 Zn 2.74-2.90
4 Rh 0.7426 0.7426 0.7426  3 Al 2.52, 3 Zn 2.64

Properties
Space-group type = R3m (160)
Calculated volume = 15.00 Å³ per atom


(2)
Here is a geometry-optimized Ac3TmHg4 structure from Alexandria. Energies are from GGA-PBE.

abc: 3.9056 3.9056 16.1900
angles: 90.00 90.00 90.00
With the nearest neighbours (Å) after each atom.
Sites, in units of the cell vectors:
1 Ac 0.0000 0.0000 0.0000  8 Hg 3.47
2 Ac 0.0000 0.0000 0.2618  8 Hg 3.50-3.54, 1 Tm 3.86, 4 Ac 3.91
3 Ac 0.0000 0.0000 0.7382  8 Hg 3.50-3.54, 1 Tm 3.86, 4 Ac 3.91
4 Tm 0.0000 0.0000 0.5000  8 Hg 3.21
5 Hg 0.5000 0.5000 0.1294  8 Ac 3.47-3.50
6 Hg 0.5000 0.5000 0.3985  4 Tm 3.21, 1 Hg 3.29, 4 Ac 3.54
7 Hg 0.5000 0.5000 0.6015  4 Tm 3.21, 1 Hg 3.29, 4 Ac 3.54
8 Hg 0.5000 0.5000 0.8706  8 Ac 3.47-3.50

Properties
Space-group type = P4/mmm (123)
Calculated volume = 30.87 Å³ per atom


(3)
Here is a geometry-optimized Mg3In3Hg structure from Alexandria. Energies are from GGA-PBE.

abc: 5.9116 5.9116 5.9116
angles: 106.91 106.91 106.91
With the nearest neighbours (Å) after each atom.
Sites, in units of the cell vectors:
1 Mg 0.1877 0.1877 0.6246  2 Hg 2.85-3.16, 5 In 3.03-3.08
2 Mg 0.1877 0.6246 0.1877  2 Hg 2.85-3.16, 5 In 3.03-3.08
3 Mg 0.6246 0.1877 0.1877  2 Hg 2.85-3.16, 5 In 3.03-3.08
4 In 0.0548 0.6579 0.6579  1 Hg 2.99, 5 Mg 3.03-3.08
5 In 0.6579 0.0548 0.6579  1 Hg 2.99, 5 Mg 3.03-3.08
6 In 0.6579 0.6579 0.0548  1 Hg 2.99, 5 Mg 3.03-3.08
7 Hg 0.1003 0.1003 0.1003  6 Mg 2.85-3.16, 3 In 2.99

Properties
Distance to the lowest polymorph of the same formula = 0.0000 eV per atom
Space-group type = R3m (160)
Calculated volume = 24.64 Å³ per atom


(4)
Here is a geometry-optimized CaScTa2 structure from Alexandria. Energies are from GGA-PBE.

abc: 5.8140 5.8140 5.8140
angles: 138.27 138.27 60.49
With the nearest neighbours (Å) after each atom.
Sites, in units of the cell vectors:
1 Ca 0.0000 0.0000 0.0000  4 Sc 2.93, 8 Ta 3.25
2 Sc 0.5000 0.5000 0.0000  4 Ca 2.93, 8 Ta 3.25
3 Ta 0.2500 0.7500 0.5000  4 Ta 2.93, 4 Ca 3.25, 4 Sc 3.25
4 Ta 0.7500 0.2500 0.5000  4 Ta 2.93, 4 Ca 3.25, 4 Sc 3.25

Properties
Distance to the lowest polymorph of the same formula = 0.3325 eV per atom
Space-group type = I4/mmm (139)
Calculated volume = 21.54 Å³ per atom


(5)
Here is a geometry-optimized Dy7Ag2Ru2 structure from Alexandria. Energies are from GGA-PBE.

abc: 6.6869 6.6869 7.0504
angles: 90.00 90.00 108.28
With the nearest neighbours (Å) after each atom.
Sites, in units of the cell vectors:
1 Dy 0.0000 0.0000 0.0000  2 Ru 3.20
2 Dy 0.0000 0.5000 0.2565  2 Ru 2.71
3 Dy 0.0000 0.5000 0.7435  2 Ru 2.71
4 Dy 0.5000 0.0000 0.2565  2 Ru 2.71
5 Dy 0.5000 0.0000 0.7435  2 Ru 2.71
6 Dy 0.5000 0.5000 0.2459  2 Ru 2.82, 2 Ag 3.10
7 Dy 0.5000 0.5000 0.7541  2 Ru 2.82, 2 Ag 3.10
8 Ag 0.1775 0.1775 0.5000  1 Ag 2.78, 2 Dy 3.10
9 Ag 0.8225 0.8225 0.5000  1 Ag 2.78, 2 Dy 3.10
10 Ru 0.2949 0.7051 0.0000  6 Dy 2.71-2.82
11 Ru 0.7051 0.2949 0.0000  6 Dy 2.71-2.82

Properties
Space-group type = Cmmm (65)
Calculated volume = 27.21 Å³ per atom


(6)
Here is a geometry-optimized V3Cr2Mo2 structure from Alexandria. Energies are from GGA-PBE.

abc: 8.7751 8.7751 2.6760
angles: 95.83 95.83 27.67
With the nearest neighbours (Å) after each atom.
Sites, in units of the cell vectors:
1 V 0.0000 0.0000 0.0000  4 V 2.46-2.68, 4 Cr 2.55
2 V 0.1354 0.1354 0.4209  3 V 2.46-2.68, 2 Cr 2.55, 2 Mo 2.62
3 V 0.8646 0.8646 0.5791  3 V 2.46-2.68, 2 Cr 2.55, 2 Mo 2.62
4 Cr 0.4333 0.4333 0.2983  3 Cr 2.41-2.68, 4 V 2.55, 1 Mo 2.60
5 Cr 0.5667 0.5667 0.7017  3 Cr 2.41-2.68, 4 V 2.55, 1 Mo 2.60
6 Mo 0.2890 0.2890 0.8674  1 Cr 2.60, 3 V 2.62-2.76, 4 Mo 2.62-2.68
7 Mo 0.7110 0.7110 0.1326  1 Cr 2.60, 3 V 2.62-2.76, 4 Mo 2.62-2.68

Properties
Distance to the lowest polymorph of the same formula = 0.0218 eV per atom
Space-group type = C2/m (12)
Calculated volume = 13.60 Å³ per atom


(7)
Here is a geometry-optimized AcSmSnGe structure from Alexandria. Energies are from GGA-PBE.

abc: 5.5093 5.5093 5.5093
angles: 60.00 60.00 60.00
With the nearest neighbours (Å) after each atom.
Sites, in units of the cell vectors:
1 Ac 0.0000 0.0000 0.0000  4 Ge 3.37, 4 Sn 3.37
2 Sm 0.5000 0.5000 0.5000  4 Sn 3.37, 4 Ge 3.37
3 Sn 0.2500 0.2500 0.2500  4 Sm 3.37, 4 Ac 3.37
4 Ge 0.7500 0.7500 0.7500  4 Sm 3.37, 4 Ac 3.37

Properties
Space-group type = F-43m (216)
Calculated volume = 29.56 Å³ per atom


(8)
Here is a geometry-optimized SrNd2Gd structure from Alexandria. Energies are from GGA-PBE.

abc: 5.3186 5.3186 5.2914
angles: 90.00 90.00 90.00
With the nearest neighbours (Å) after each atom.
Sites, in units of the cell vectors:
1 Sr 0.0000 0.0000 0.0000  8 Nd 3.75, 4 Gd 3.76
2 Nd 0.0000 0.5000 0.5000  4 Gd 3.75, 4 Sr 3.75, 4 Nd 3.76
3 Nd 0.5000 0.0000 0.5000  4 Gd 3.75, 4 Sr 3.75, 4 Nd 3.76
4 Gd 0.5000 0.5000 0.0000  8 Nd 3.75, 4 Sr 3.76

Properties
Distance to the lowest polymorph of the same formula = 0.0694 eV per atom
Space-group type = P4/mmm (123)
Calculated volume = 37.42 Å³ per atom


(9)
Here is a geometry-optimized Fe2AgRu structure from Alexandria. Energies are from GGA-PBE.

abc: 2.7375 3.5163 5.7975
angles: 90.00 90.00 90.00
With the nearest neighbours (Å) after each atom.
Sites, in units of the cell vectors:
1 Fe 0.0000 0.0000 0.0000  1 Ru 2.46, 6 Fe 2.58-2.74, 4 Ag 2.73
2 Fe 0.5000 0.5000 0.2248  4 Ru 2.51, 6 Fe 2.58-2.74
3 Ag 0.5000 0.5000 0.7290  6 Fe 2.73-2.92, 2 Ag 2.74, 4 Ru 2.84
4 Ru 0.0000 0.0000 0.4243  5 Fe 2.46-2.51, 2 Ru 2.74

Properties
Distance to the lowest polymorph of the same formula = 0.0574 eV per atom
Space-group type = Pmm2 (25)
Calculated volume = 13.95 Å³ per atom


(10)
Here is a geometry-optimized CaFe2Se structure from Alexandria. Energies are from GGA-PBE.

abc: 5.7726 5.7726 5.7726
angles: 39.89 39.89 39.89
With the nearest neighbours (Å) after each atom.
Sites, in units of the cell vectors:
1 Ca 0.0000 0.0000 0.0000  4 Se 3.05-3.27, 7 Fe 3.06-3.26
2 Fe 0.2044 0.2044 0.2044  3 Fe 2.29
3 Fe 0.5199 0.5199 0.5199  3 Fe 2.29, 3 Se 2.46
4 Se 0.7944 0.7944 0.7944  6 Fe 2.46-2.58

Properties
Distance to the lowest polymorph of the same formula = 0.0000 eV per atom
Space-group type = R3m (160)
Formation energy (no corrections) = -0.217 eV/atom
Calculated volume = 17.82 Å³ per atom


(11)
Here is a geometry-optimized CdGaReTc2 structure from Alexandria. Energies are from GGA-PBE.

abc: 4.7395 4.7395 4.8212
angles: 90.00 90.00 90.00
With the nearest neighbours (Å) after each atom.
Sites, in units of the cell vectors:
1 Cd 0.0000 0.0000 0.0000  4 Ga 3.35, 8 Tc 3.38
2 Ga 0.5000 0.5000 0.0000  2 Re 2.41
3 Re 0.5000 0.5000 0.5000  4 Tc 2.37, 2 Ga 2.41
4 Tc 0.0000 0.5000 0.5000  2 Re 2.37
5 Tc 0.5000 0.0000 0.5000  2 Re 2.37

Properties
Distance to the lowest polymorph of the same formula = 0.0000 eV per atom
Space-group type = P4/mmm (123)
Calculated volume = 21.66 Å³ per atom


(12)
Here is a geometry-optimized KLaNi2 structure from Alexandria. Energies are from GGA-PBE.

abc: 4.1286 4.1286 8.5153
angles: 104.22 104.22 60.03
With the nearest neighbours (Å) after each atom.
Sites, in units of the cell vectors:
1 K 0.0000 0.0000 0.0000  6 Ni 3.45
2 La 0.8307 0.8307 0.4981  6 Ni 2.87-2.88
3 Ni 0.2303 0.2303 0.6944  3 Ni 2.38
4 Ni 0.5638 0.5638 0.6949  3 Ni 2.38

Properties
Distance to the lowest polymorph of the same formula = 0.0000 eV per atom
Space-group type = Cm (8)
Calculated volume = 30.14 Å³ per atom


Respective Fermi-level density of states values: 3.2, 9.4, 0.9, 5.7, 9.7, 4.9, 5.4, 7.4, 3.8, 2.6, 4.9, 4.8 states/eV per cell.
Respective VASP energy values: -3.67, -2.70, -1.96, -7.41, -5.32, -9.81, -4.87, -6.17, -6.91, -5.82, -6.20, -4.39 eV per atom.